Record 1
Density functional theory data (meta-GGA SCAN) for a crystal of Sc2IrPt relaxed with PBEsol.

The structure in CIF format:
```
data_Sc2IrPt
_space_group_name_H-M_alt 'C m m m'
_space_group_IT_number 65
_space_group_name_Hall '-C 2 2'
_cell_length_a 6.378
_cell_length_b 6.683
_cell_length_c 3.139
_cell_angle_alpha 90.00
_cell_angle_beta 90.00
_cell_angle_gamma 90.00
loop_
_atom_site_label
_atom_site_fract_x
_atom_site_fract_y
_atom_site_fract_z
Sc1 0.250 0.250 0.000
Ir1 0.000 0.000 0.500
Pt1 0.000 0.500 0.500
```

The total magnetization is 0.00 μB/cell. Its formation energy is -1.34 eV/atom.



Record 2
Density functional theory data (meta-GGA SCAN) for a crystal of HfZr2CdC relaxed with PBEsol.

The structure in CIF format:
```
data_HfZr2CdC
_space_group_name_H-M_alt 'P 4/m m m'
_space_group_IT_number 123
_space_group_name_Hall '-P 4 2'
_cell_length_a 5.028
_cell_length_b 5.028
_cell_length_c 5.223
_cell_angle_alpha 90.00
_cell_angle_beta 90.00
_cell_angle_gamma 90.00
loop_
_atom_site_label
_atom_site_fract_x
_atom_site_fract_y
_atom_site_fract_z
Hf1 0.000 0.000 0.000
Zr1 0.000 0.500 0.000
Cd1 0.000 0.000 0.500
C1 0.500 0.500 0.500
```

The total magnetization is 1.64 μB/cell. Its formation energy is 2.28 eV/atom.



Record 3
Density functional theory data (meta-GGA SCAN) for a crystal of Sb2PtSe relaxed with PBEsol.

The structure in CIF format:
```
data_Sb2PtSe
_space_group_name_H-M_alt 'P m m m'
_space_group_IT_number 47
_space_group_name_Hall '-P 2 2'
_cell_length_a 3.428
_cell_length_b 4.676
_cell_length_c 5.236
_cell_angle_alpha 90.00
_cell_angle_beta 90.00
_cell_angle_gamma 90.00
loop_
_atom_site_label
_atom_site_fract_x
_atom_site_fract_y
_atom_site_fract_z
Sb1 0.000 0.000 0.000
Sb2 0.500 0.000 0.500
Pt1 0.000 0.500 0.500
Se1 0.500 0.500 0.000
```

The total magnetization is 0.00 μB/cell. As for the uncorrected formation energy: 0.372 eV/atom.



Record 4
Density functional theory data (meta-GGA SCAN) for a crystal of HfSn2HOs relaxed with PBEsol.

The structure in CIF format:
```
data_HfSn2HOs
_space_group_name_H-M_alt 'P 4/m m m'
_space_group_IT_number 123
_space_group_name_Hall '-P 4 2'
_cell_length_a 5.331
_cell_length_b 5.331
_cell_length_c 3.383
_cell_angle_alpha 90.00
_cell_angle_beta 90.00
_cell_angle_gamma 90.00
loop_
_atom_site_label
_atom_site_fract_x
_atom_site_fract_y
_atom_site_fract_z
Hf1 0.000 0.000 0.000
Sn1 0.000 0.500 0.000
H1 0.000 0.000 0.500
Os1 0.500 0.500 0.500
```

The total magnetization is 0.81 μB/cell.



Result set for E: -350.23, -153.21, -163.30, -204.61 eV per cell, one per record in the order listed.